[1]
VASP calculation (meta-GGA SCAN) on Eu at its PBEsol-relaxed geometry.

Computed properties:
Formation energy (eV per atom): 0.060
Polymorph energy (0 for the lowest one) (eV/atom): 0.0598
Symmetry: Im-3m (229)
Total magnetization (μB/f.u.): 7.6
N(E_F) (states/eV/atom): 1.71

a b c (Å): 4.2468 4.2468 4.2468
angles (deg): 90.00 90.00 90.00
With the nearest neighbours (Å) after each atom.
Fractional coordinates of all 2 atoms:
Eu: 0.0000 0.0000 0.0000  8 Eu 3.68
Eu: 0.5000 0.5000 0.5000  8 Eu 3.68

[2]
VASP calculation (meta-GGA SCAN) on MnP3I at its PBEsol-relaxed geometry.

Computed properties:
Formation energy (no corrections) (eV/atom): 1.62
Symmetry: Pm-3m (221)
Total magnetization (μB/f.u.): 4.4
N(E_F) (states/eV/atom): 0.61

a b c (Å): 4.9998 4.9998 4.9998
angles (deg): 90.00 90.00 90.00
With the nearest neighbours (Å) after each atom.
Fractional coordinates of all 5 atoms:
Mn: 0.0000 0.0000 0.0000  12 P 3.54
P: 0.0000 0.5000 0.5000  2 I 2.50
P: 0.5000 0.0000 0.5000  2 I 2.50
P: 0.5000 0.5000 0.0000  2 I 2.50
I: 0.5000 0.5000 0.5000  6 P 2.50